# MgCoBMo

A relaxed MgCoBMo crystal (GGA-PBE, OQMD).

Geometry as POSCAR:
```
MgCoBMo
1.0
1.501 -2.566 -2.799
-1.224 -3.895 -0.064
-2.387 -1.340 -3.029
Mg B Mo Co
1 1 1 1
Direct
0.500 0.500 0.500
0.000 0.000 0.000
0.250 0.250 0.250
0.750 0.750 0.750
```

Results
Its space group is F-43m, No. 216.



# MgNbCoB

A relaxed MgNbCoB crystal (GGA-PBE, OQMD).

Geometry as POSCAR:
```
MgNbCoB
1.0
0.000 2.928 2.928
2.928 0.000 2.928
2.928 2.928 0.000
Nb Co Mg B
1 1 1 1
Direct
0.250 0.250 0.250
0.750 0.750 0.750
0.500 0.500 0.500
0.000 0.000 0.000
```

Results
Its space group is F-43m, No. 216.



# MgNbCoB

A relaxed MgNbCoB crystal (GGA-PBE, OQMD).

Geometry as POSCAR:
```
MgNbCoB
1.0
0.000 2.932 2.932
2.932 0.000 2.932
2.932 2.932 0.000
Nb Co Mg B
1 1 1 1
Direct
0.500 0.500 0.500
0.750 0.750 0.750
0.250 0.250 0.250
0.000 0.000 0.000
```

Results
Its space group is F-43m, No. 216.



# MgCoNiB

A relaxed MgCoNiB crystal (GGA-PBE, OQMD).

Geometry as POSCAR:
```
MgCoNiB
1.0
0.000 2.772 2.772
2.772 0.000 2.772
2.772 2.772 0.000
Co Ni B Mg
1 1 1 1
Direct
0.750 0.750 0.750
0.500 0.500 0.500
0.000 0.000 0.000
0.250 0.250 0.250
```

Results
Its space group is F-43m, No. 216.



# MgCoNiB

A relaxed MgCoNiB crystal (GGA-PBE, OQMD).

Geometry as POSCAR:
```
MgCoNiB
1.0
0.000 2.737 2.737
2.737 0.000 2.737
2.737 2.737 0.000
Ni Co B Mg
1 1 1 1
Direct
0.250 0.250 0.250
0.750 0.750 0.750
0.000 0.000 0.000
0.500 0.500 0.500
```

Results
Its space group is F-43m, No. 216.



# MgCoBOs

A relaxed MgCoBOs crystal (GGA-PBE, OQMD).

Geometry as POSCAR:
```
MgCoBOs
1.0
2.070 0.819 3.333
-1.787 1.874 3.059
-0.786 -1.993 3.387
Co B Os Mg
1 1 1 1
Direct
0.750 0.750 0.750
0.000 0.000 0.000
0.250 0.250 0.250
0.500 0.500 0.500
```

Results
Its space group is F-43m, No. 216.



# MgCoBPd

A relaxed MgCoBPd crystal (GGA-PBE, OQMD).

Geometry as POSCAR:
```
MgCoBPd
1.0
0.000 2.845 2.845
2.845 0.000 2.845
2.845 2.845 0.000
Mg B Co Pd
1 1 1 1
Direct
0.500 0.500 0.500
0.000 0.000 0.000
0.750 0.750 0.750
0.250 0.250 0.250
```

Results
Its space group is F-43m, No. 216.



# MgCoReB

A relaxed MgCoReB crystal (GGA-PBE, OQMD).

Geometry as POSCAR:
```
MgCoReB
1.0
0.000 2.855 2.855
2.855 0.000 2.855
2.855 2.855 0.000
Re Co Mg B
1 1 1 1
Direct
0.250 0.250 0.250
0.750 0.750 0.750
0.500 0.500 0.500
0.000 0.000 0.000
```

Results
Its space group is F-43m, No. 216.



# MgCoSiB

A relaxed MgCoSiB crystal (GGA-PBE, OQMD).

Geometry as POSCAR:
```
MgCoSiB
1.0
1.008 -3.863 0.079
-2.182 -2.674 -2.008
1.490 -1.742 -3.270
Mg Si B Co
1 1 1 1
Direct
0.750 0.750 0.750
0.500 0.500 0.500
0.000 0.000 0.000
0.250 0.250 0.250
```

Results
Its space group is F-43m, No. 216.



# MgCoSiB

A relaxed MgCoSiB crystal (GGA-PBE, OQMD).

Geometry as POSCAR:
```
MgCoSiB
1.0
2.121 -1.833 -2.831
0.613 -3.932 0.201
-1.810 -2.433 -2.584
Co Mg B Si
1 1 1 1
Direct
0.000 0.000 0.000
0.750 0.750 0.750
0.500 0.500 0.500
0.250 0.250 0.250
```

Results
Its space group is F-43m, No. 216.



# MgCoSnB

A relaxed MgCoSnB crystal (GGA-PBE, OQMD).

Geometry as POSCAR:
```
MgCoSnB
1.0
0.000 3.074 3.074
3.074 0.000 3.074
3.074 3.074 0.000
Co Sn Mg B
1 1 1 1
Direct
0.000 0.000 0.000
0.250 0.250 0.250
0.750 0.750 0.750
0.500 0.500 0.500
```

Results
Its space group is F-43m, No. 216.



# MgTaCoB

A relaxed MgTaCoB crystal (GGA-PBE, OQMD).

Geometry as POSCAR:
```
MgTaCoB
1.0
-0.033 -0.379 4.128
-2.913 1.925 2.235
-2.982 -2.203 1.855
Co Mg Ta B
1 1 1 1
Direct
0.750 0.750 0.750
0.250 0.250 0.250
0.500 0.500 0.500
0.000 0.000 0.000
```

Results
Its space group is F-43m, No. 216.



Values of magnetization, in order: 2.4 1.4 0.0 0.5 0.0 0.6 0.0 0.6 0.0 0.0 0.0 0.0, all in Bohr magnetons per cell.
Values of energy relative to the lowest polymorph listed for this composition, in order: 0 32 0 132 0 0 0 0 0 99 0 0, all in meV per atom.